[1]
Here is LaMgIn2 after structural relaxation from Alexandria via LeMat-Bulk. Energies are from PBE.

Values from the calculation:
The calculation puts the energy of formation from the pure elements at -6.41 kcal/mol of atoms. The total DFT energy (no corrections) is -0.1205 hartree per atom. The calculation puts the magnetic moment at 0.0 μB per formula unit.

CIF file:
```
data_LaMgIn2
_cell_length_a 4.8701
_cell_length_b 3.6402
_cell_length_c 6.5568
_cell_angle_alpha 74.25
_cell_angle_beta 90.00
_cell_angle_gamma 90.00
_symmetry_space_group_name_H-M 'P 1'
_symmetry_Int_Tables_number 1
_symmetry_space_group_name_Hall 'P 1'
loop_
_atom_site_label
_atom_site_type_symbol
_atom_site_fract_x
_atom_site_fract_y
_atom_site_fract_z
In1 In 0.0000 0.1986 0.9728
In2 In 0.5000 0.0578 0.2588
Mg1 Mg 0.5000 0.7824 0.8104
La1 La 0.0000 0.4612 0.4581
```

[2]
Here is Ce3Zn4Cd2 after structural relaxation from Alexandria via LeMat-Bulk. Energies are from PBE.

Values from the calculation:
The calculation puts the energy of formation from the pure elements at -5.71 kcal/mol of atoms. The total DFT energy (no corrections) is -0.1101 hartree per atom. The calculation puts the magnetic moment at 3.3 μB per formula unit.

CIF file:
```
data_Ce3Zn4Cd2
_cell_length_a 4.8441
_cell_length_b 5.8403
_cell_length_c 8.9758
_cell_angle_alpha 118.26
_cell_angle_beta 90.00
_cell_angle_gamma 114.50
_symmetry_space_group_name_H-M 'P 1'
_symmetry_Int_Tables_number 1
_symmetry_space_group_name_Hall 'P 1'
loop_
_atom_site_label
_atom_site_type_symbol
_atom_site_fract_x
_atom_site_fract_y
_atom_site_fract_z
Ce1 Ce 0.3322 0.6645 0.3244
Ce2 Ce 0.6678 0.3355 0.6756
Ce3 Ce 0.0000 0.0000 0.0000
Zn1 Zn 0.2687 0.5373 0.9406
Zn2 Zn 0.7313 0.4627 0.0594
Zn3 Zn 0.0495 0.0990 0.3899
Zn4 Zn 0.9505 0.9010 0.6101
Cd1 Cd 0.3836 0.7673 0.7158
Cd2 Cd 0.6164 0.2327 0.2842
```

[3]
Here is Ba2Cu2Br after structural relaxation from Alexandria via LeMat-Bulk. Energies are from PBE.

Values from the calculation:
The total DFT energy (no corrections) is -0.1163 hartree per atom. The calculation puts the magnetic moment at 0.0 μB per formula unit.

CIF file:
```
data_Ba2Cu2Br
_cell_length_a 3.8695
_cell_length_b 3.8695
_cell_length_c 10.0818
_cell_angle_alpha 78.94
_cell_angle_beta 78.94
_cell_angle_gamma 90.00
_symmetry_space_group_name_H-M 'P 1'
_symmetry_Int_Tables_number 1
_symmetry_space_group_name_Hall 'P 1'
loop_
_atom_site_label
_atom_site_type_symbol
_atom_site_fract_x
_atom_site_fract_y
_atom_site_fract_z
Ba1 Ba 0.6191 0.6191 0.7619
Ba2 Ba 0.3809 0.3809 0.2381
Br1 Br 0.0000 0.0000 0.0000
Cu1 Cu 0.2500 0.7500 0.5000
Cu2 Cu 0.7500 0.2500 0.5000
```

[4]
Here is Y2HoIr after structural relaxation from Alexandria via LeMat-Bulk. Energies are from PBE.

Values from the calculation:
The calculation puts the energy of formation from the pure elements at -8.52 kcal/mol of atoms. The total DFT energy (no corrections) is -0.2558 hartree per atom. The calculation puts the magnetic moment at 0.0 μB per formula unit.

CIF file:
```
data_Y2HoIr
_cell_length_a 3.4900
_cell_length_b 3.4900
_cell_length_c 8.7580
_cell_angle_alpha 90.00
_cell_angle_beta 90.00
_cell_angle_gamma 90.00
_symmetry_space_group_name_H-M 'P 1'
_symmetry_Int_Tables_number 1
_symmetry_space_group_name_Hall 'P 1'
loop_
_atom_site_label
_atom_site_type_symbol
_atom_site_fract_x
_atom_site_fract_y
_atom_site_fract_z
Ho1 Ho 0.5000 0.5000 0.5000
Ir1 Ir 0.5000 0.5000 0.0000
Y1 Y 0.0000 0.0000 0.8123
Y2 Y 0.0000 0.0000 0.1877
```

> What is the formula in the third record?

Ba2Cu2Br

> Number 2 is which compound?

Ce3Zn4Cd2